Entry from Alexandria: a relaxed structure of Y3Pu2TaN6 (PBE).

Values from the calculation:
Total energy (eV per atom): -10.60
D(E_F) (states/eV/cell): 10.0
ΔE_f (raw) (meV/atom): -1447
ρ (Mg/m³): 10.13

a = 5.9017 Å, b = 5.9017 Å, c = 5.8746 Å
α = 99.64°, β = 99.64°, γ = 119.94°
Fractional positions:
Y1 0.1660 0.8340 0.5000
Y2 0.8340 0.1660 0.5000
Y3 0.5000 0.5000 0.5000
Pu1 0.3335 0.6665 0.0000
Pu2 0.6665 0.3335 0.0000
Ta1 0.0000 0.0000 0.0000
N1 0.9234 0.6097 0.7704
N2 0.7633 0.7633 0.2334
N3 0.0766 0.3903 0.2296
N4 0.6097 0.9234 0.7704
N5 0.2367 0.2367 0.7666
N6 0.3903 0.0766 0.2296